Arrangement one

ZrCdGaCo | GGA-PBE | optimized geometry

Cell lengths 4.564, 4.564, 4.564 Å; angles 60.00, 60.00, 60.00 degrees
Fractional positions:
Zr1 0.000 0.000 0.000
Cd1 0.750 0.750 0.750
Ga1 0.250 0.250 0.250
Co1 0.500 0.500 0.500

As for the space group: F-43m.



Arrangement two

ZrCdGaCo | GGA-PBE | optimized geometry

Cell lengths 4.556, 4.556, 4.556 Å; angles 60.00, 60.00, 60.00 degrees
Fractional positions:
Zr1 0.000 0.000 0.000
Cd1 0.250 0.250 0.250
Ga1 0.500 0.500 0.500
Co1 0.750 0.750 0.750

As for the space group: F-43m.



Most stable structure: arrangement two



Arrangement one

HfCdCoGe | GGA-PBE | optimized geometry

Cell lengths 4.569, 4.569, 4.569 Å; angles 60.00, 60.00, 60.00 degrees
Fractional positions:
Hf1 0.000 0.000 0.000
Cd1 0.750 0.750 0.750
Co1 0.500 0.500 0.500
Ge1 0.250 0.250 0.250

As for the space group: F-43m.



Arrangement two

HfCdCoGe | GGA-PBE | optimized geometry

Cell lengths 4.576, 4.576, 4.576 Å; angles 60.00, 60.00, 60.00 degrees
Fractional positions:
Hf1 0.000 0.000 0.000
Cd1 0.250 0.250 0.250
Co1 0.750 0.750 0.750
Ge1 0.500 0.500 0.500

As for the space group: F-43m.



Most stable structure: arrangement one



Arrangement one

CdCoGeS3 | GGA-PBE | optimized geometry

Cell lengths 7.598, 7.598, 9.012 Å; angles 90.00, 90.00, 153.85 degrees
Fractional positions:
Cd1 0.202 0.798 0.750
Cd2 0.798 0.202 0.250
Co1 0.500 0.500 0.000
Co2 0.500 0.500 0.500
Ge1 0.148 0.852 0.250
Ge2 0.852 0.148 0.750
S1 0.100 0.900 0.519
S2 0.100 0.900 0.981
S3 0.466 0.534 0.750
S4 0.534 0.466 0.250
S5 0.900 0.100 0.019
S6 0.900 0.100 0.481

As for the space group: Cmcm.



Arrangement two

CdCoGeS3 | GGA-PBE | optimized geometry

Cell lengths 6.375, 6.375, 10.762 Å; angles 90.00, 90.00, 147.22 degrees
Fractional positions:
Cd1 0.000 0.000 0.000
Cd2 0.000 0.000 0.500
Co1 0.472 0.528 0.750
Co2 0.528 0.472 0.250
Ge1 0.215 0.785 0.250
Ge2 0.785 0.215 0.750
S1 0.078 0.922 0.750
S2 0.355 0.645 0.586
S3 0.355 0.645 0.914
S4 0.645 0.355 0.086
S5 0.645 0.355 0.414
S6 0.922 0.078 0.250

As for the space group: Cmcm.



Most stable structure: arrangement one



Arrangement one

ScCdCoGe | GGA-PBE | optimized geometry

Cell lengths 4.526, 4.526, 4.526 Å; angles 60.00, 60.00, 60.00 degrees
Fractional positions:
Sc1 0.000 0.000 0.000
Cd1 0.250 0.250 0.250
Co1 0.750 0.750 0.750
Ge1 0.500 0.500 0.500

As for the space group: F-43m.



Arrangement two

ScCdCoGe | GGA-PBE | optimized geometry

Cell lengths 4.529, 4.529, 4.529 Å; angles 60.00, 60.00, 60.00 degrees
Fractional positions:
Sc1 0.000 0.000 0.000
Cd1 0.750 0.750 0.750
Co1 0.500 0.500 0.500
Ge1 0.250 0.250 0.250

As for the space group: F-43m.



Most stable structure: arrangement two



Arrangement one

TaCdCoGe | GGA-PBE | optimized geometry

Cell lengths 4.501, 4.501, 4.501 Å; angles 60.00, 60.00, 60.00 degrees
Fractional positions:
Ta1 0.000 0.000 0.000
Cd1 0.750 0.750 0.750
Co1 0.500 0.500 0.500
Ge1 0.250 0.250 0.250

As for the space group: F-43m.



Arrangement two

TaCdCoGe | GGA-PBE | optimized geometry

Cell lengths 4.524, 4.524, 4.524 Å; angles 60.00, 60.00, 60.00 degrees
Fractional positions:
Ta1 0.000 0.000 0.000
Cd1 0.250 0.250 0.250
Co1 0.750 0.750 0.750
Ge1 0.500 0.500 0.500

As for the space group: F-43m.



Most stable structure: arrangement one



Arrangement one

ZnCdCoGe | GGA-PBE | optimized geometry

Cell lengths 4.459, 4.459, 4.459 Å; angles 60.00, 60.00, 60.00 degrees
Fractional positions:
Zn1 0.000 0.000 0.000
Cd1 0.250 0.250 0.250
Co1 0.750 0.750 0.750
Ge1 0.500 0.500 0.500

As for the space group: F-43m.



Arrangement two

ZnCdCoGe | GGA-PBE | optimized geometry

Cell lengths 4.457, 4.457, 4.457 Å; angles 60.00, 60.00, 60.00 degrees
Fractional positions:
Zn1 0.000 0.000 0.000
Cd1 0.750 0.750 0.750
Co1 0.500 0.500 0.500
Ge1 0.250 0.250 0.250

As for the space group: F-43m.



Most stable structure: arrangement two



Arrangement one

ZrCdCoGe | GGA-PBE | optimized geometry

Cell lengths 4.588, 4.588, 4.588 Å; angles 60.00, 60.00, 60.00 degrees
Fractional positions:
Zr1 0.000 0.000 0.000
Cd1 0.750 0.750 0.750
Co1 0.500 0.500 0.500
Ge1 0.250 0.250 0.250

As for the space group: F-43m.



Arrangement two

ZrCdCoGe | GGA-PBE | optimized geometry

Cell lengths 4.598, 4.598, 4.598 Å; angles 60.00, 60.00, 60.00 degrees
Fractional positions:
Zr1 0.000 0.000 0.000
Cd1 0.250 0.250 0.250
Co1 0.750 0.750 0.750
Ge1 0.500 0.500 0.500

As for the space group: F-43m.



Most stable structure: arrangement one



Arrangement one

HfCdCo | GGA-PBE | optimized geometry

Cell lengths 4.392, 4.392, 4.392 Å; angles 60.00, 60.00, 60.00 degrees
Fractional positions:
Hf1 0.000 0.000 0.000
Cd1 0.250 0.250 0.250
Co1 0.500 0.500 0.500

As for the space group: F-43m.



Arrangement two

HfCdCo | GGA-PBE | optimized geometry

Cell lengths 4.435, 4.435, 4.435 Å; angles 60.00, 60.00, 60.00 degrees
Fractional positions:
Hf1 0.000 0.000 0.000
Cd1 0.750 0.750 0.750
Co1 0.250 0.250 0.250

As for the space group: F-43m.



Most stable structure: arrangement two



Arrangement one

HfTlCdCo | GGA-PBE | optimized geometry

Cell lengths 4.714, 4.714, 4.714 Å; angles 60.00, 60.00, 60.00 degrees
Fractional positions:
Hf1 0.000 0.000 0.000
Tl1 0.250 0.250 0.250
Cd1 0.750 0.750 0.750
Co1 0.500 0.500 0.500

As for the space group: F-43m.



Arrangement two

HfTlCdCo | GGA-PBE | optimized geometry

Cell lengths 4.708, 4.708, 4.708 Å; angles 60.00, 60.00, 60.00 degrees
Fractional positions:
Hf1 0.000 0.000 0.000
Tl1 0.500 0.500 0.500
Cd1 0.250 0.250 0.250
Co1 0.750 0.750 0.750

As for the space group: F-43m.



Most stable structure: arrangement two



Arrangement one

LuCdInCo | GGA-PBE | optimized geometry

Cell lengths 4.767, 4.767, 4.767 Å; angles 60.00, 60.00, 60.00 degrees
Fractional positions:
Lu1 0.000 0.000 0.000
Cd1 0.750 0.750 0.750
In1 0.250 0.250 0.250
Co1 0.500 0.500 0.500

As for the space group: F-43m.



Arrangement two

LuCdInCo | GGA-PBE | optimized geometry

Cell lengths 4.769, 4.769, 4.769 Å; angles 60.00, 60.00, 60.00 degrees
Fractional positions:
Lu1 0.000 0.000 0.000
Cd1 0.250 0.250 0.250
In1 0.500 0.500 0.500
Co1 0.750 0.750 0.750

As for the space group: F-43m.



Most stable structure: arrangement two